The following is a DFT calculation (PBE) of crystalline Cu2Au at its relaxed geometry.

Unit cell a=6.0134 b=6.0134 c=6.0134 alpha=90.00 beta=90.00 gamma=90.00
Sites, in units of the cell vectors:
Au 0.0000 0.0000 0.0000
Au 0.0000 0.5000 0.5000
Au 0.5000 0.0000 0.5000
Au 0.5000 0.5000 0.0000
Cu 0.1177 0.6177 0.8823
Cu 0.1177 0.8823 0.3823
Cu 0.3823 0.1177 0.8823
Cu 0.3823 0.3823 0.3823
Cu 0.6177 0.6177 0.6177
Cu 0.6177 0.8823 0.1177
Cu 0.8823 0.1177 0.6177
Cu 0.8823 0.3823 0.1177

Properties
Formation enthalpy at 0 K ... 1.5 eV/f.u.
SG ... Pa-3, No. 205

---

The following is a DFT calculation (PBE) of crystalline Er4ZnPd3 at its relaxed geometry.

Unit cell a=3.6908 b=4.5212 c=10.5990 alpha=90.00 beta=90.00 gamma=90.00
Sites, in units of the cell vectors:
Er 0.5000 0.5000 0.3660
Er 0.0000 0.5000 0.8542
Er 0.0000 0.0000 0.1414
Er 0.5000 0.0000 0.6374
Zn 0.5000 0.5000 0.0784
Pd 0.0000 0.5000 0.5864
Pd 0.0000 0.0000 0.4135
Pd 0.5000 0.0000 0.9227

Properties
Formation enthalpy at 0 K ... -6.4 eV/f.u.
SG ... Pmm2, No. 25

---

Calculated magnetic moment, 0.00 0.00 μB/f.u. (same order as the records).